First-principles (PBE-GGA) data for an optimized crystal structure of Ba3ReGe, as listed in the Alexandria database.

For the size of the total moment, the calculation gives 0.294 μB/atom. The density of states at the Fermi level is 4.99 states/eV/cell. Its volume is 39.969 Å³ per atom. The symmetry is Pm-3m. The energy comes out at -19.4 eV per cell. The calculation puts the formation energy at 0.70 eV per atom.

Cell: 5.8465 5.8465 5.8465 Å, 90.00 90.00 90.00°
Fractional positions:
1 Ge 0.5000 0.5000 0.5000
2 Ba 0.5000 0.0000 0.0000
3 Ba 0.0000 0.0000 0.5000
4 Ba 0.0000 0.5000 0.0000
5 Re 0.0000 0.0000 0.0000



First-principles (PBE-GGA) data for an optimized crystal structure of SrInI2Br, as listed in the Alexandria database.

For the energy relative to the elements, uncorrected, the calculation gives -1173 meV/atom. For the size of the total moment, the calculation gives 0.000 μB/atom. The density of states at the Fermi level is 0.00 states/eV/cell. Its volume is 48.734 Å³ per atom. The symmetry is P4/mmm. The energy comes out at -15.1 eV per cell.

Cell: 6.4411 6.4411 5.8734 Å, 90.00 90.00 90.00°
Fractional positions:
1 Br 0.0000 0.0000 0.5000
2 Sr 0.0000 0.0000 0.0000
3 I 0.5000 0.0000 0.0000
4 I 0.0000 0.5000 0.0000
5 In 0.5000 0.5000 0.5000



First-principles (PBE-GGA) data for an optimized crystal structure of Pm8NdY5, as listed in the Alexandria database.

For the size of the total moment, the calculation gives 0.000 μB/atom. The density of states at the Fermi level is 21.78 states/eV/cell. Its volume is 34.748 Å³ per atom. The symmetry is I-4. The energy comes out at -71.7 eV per cell. The calculation puts the formation energy at 0.24 eV per atom.

Cell: 8.5917 8.5918 8.5917 Å, 111.50 105.49 111.50°
Fractional positions:
1 Pm 0.6695 0.3961 0.9280
2 Pm 0.5319 0.6039 0.2734
3 Pm 0.0720 0.7415 0.4681
4 Pm 0.5701 0.9128 0.8387
5 Pm 0.9259 0.0872 0.6572
6 Pm 0.3428 0.2686 0.4299
7 Pm 0.7266 0.2585 0.3305
8 Pm 0.1613 0.7314 0.0741
9 Y 0.5000 0.0000 0.5000
10 Y 0.8148 0.6839 0.7223
11 Y 0.2777 0.0925 0.9615
12 Y 0.0385 0.3161 0.1309
13 Y 0.8691 0.9075 0.1852
14 Nd 0.2500 0.5000 0.7500



First-principles (PBE-GGA) data for an optimized crystal structure of BaHf2AuN, as listed in the Alexandria database.

For the energy relative to the elements, uncorrected, the calculation gives -129 meV/atom. For the size of the total moment, the calculation gives 0.000 μB/atom. The density of states at the Fermi level is 5.35 states/eV/cell. Its volume is 25.921 Å³ per atom. The symmetry is P4/mmm. The energy comes out at -34.1 eV per cell.

Cell: 4.3512 6.8455 4.3512 Å, 90.00 90.00 90.00°
Fractional positions:
1 Hf 0.0000 0.0000 0.5000
2 Hf 0.5000 0.0000 0.0000
3 Ba 0.5000 0.5000 0.5000
4 Au 0.0000 0.5000 0.0000
5 N 0.0000 0.0000 0.0000



First-principles (PBE-GGA) data for an optimized crystal structure of ErHfOs2, as listed in the Alexandria database.

For the size of the total moment, the calculation gives 0.000 μB/atom. The density of states at the Fermi level is 3.09 states/eV/cell. Its volume is 18.203 Å³ per atom. The symmetry is P4/mmm. The energy comes out at -38.7 eV per cell. The calculation puts the formation energy at -0.43 eV per atom.

Cell: 3.2947 3.2947 6.7079 Å, 90.00 90.00 90.00°
Fractional positions:
1 Os 0.0000 0.0000 0.7672
2 Os 0.0000 0.0000 0.2328
3 Hf 0.5000 0.5000 0.0000
4 Er 0.5000 0.5000 0.5000



First-principles (PBE-GGA) data for an optimized crystal structure of MgCr2Cu, as listed in the Alexandria database.

For the size of the total moment, the calculation gives 0.000 μB/atom. The density of states at the Fermi level is 3.33 states/eV/cell. Its volume is 13.150 Å³ per atom. The symmetry is P4mm. The energy comes out at -23.3 eV per cell. The calculation puts the formation energy at 0.40 eV per atom.

Cell: 2.4986 2.4986 8.4252 Å, 90.00 90.00 90.00°
Fractional positions:
1 Cr 0.5000 0.5000 0.2574
2 Cr 0.0000 0.0000 0.0118
3 Mg 0.5000 0.5000 0.7435
4 Cu 0.0000 0.0000 0.4873



First-principles (PBE-GGA) data for an optimized crystal structure of TiZn3Rh, as listed in the Alexandria database.

For the size of the total moment, the calculation gives 0.000 μB/atom. The density of states at the Fermi level is 6.49 states/eV/cell. Its volume is 15.711 Å³ per atom. The symmetry is C2/c. The energy comes out at -39.9 eV per cell. The calculation puts the formation energy at -0.18 eV per atom.

Cell: 6.0537 4.6004 9.5471 Å, 114.07 51.69 131.14°
Fractional positions:
1 Ti 0.2169 0.4338 0.2500
2 Ti 0.7831 0.5662 0.7500
3 Rh 0.4379 0.8758 0.7500
4 Rh 0.5621 0.1242 0.2500
5 Zn 0.8106 0.2597 0.9186
6 Zn 0.4491 0.2597 0.5814
7 Zn 0.1894 0.7403 0.0814
8 Zn 0.0000 0.0000 0.5000
9 Zn 0.0000 0.0000 0.0000
10 Zn 0.5509 0.7403 0.4186



First-principles (PBE-GGA) data for an optimized crystal structure of NaVP2I, as listed in the Alexandria database.

For the energy relative to the elements, uncorrected, the calculation gives -184 meV/atom. For the size of the total moment, the calculation gives 0.000 μB/atom. The density of states at the Fermi level is 3.76 states/eV/cell. Its volume is 24.803 Å³ per atom. The symmetry is P4/mmm. The energy comes out at -23.7 eV per cell.

Cell: 4.4973 6.1317 4.4973 Å, 90.00 90.00 90.00°
Fractional positions:
1 Na 0.5000 0.5000 0.5000
2 P 0.5000 0.0000 0.0000
3 P 0.0000 0.0000 0.5000
4 I 0.0000 0.5000 0.0000
5 V 0.0000 0.0000 0.0000



First-principles (PBE-GGA) data for an optimized crystal structure of Cs2YPb2, as listed in the Alexandria database.

For the size of the total moment, the calculation gives 0.000 μB/atom. The density of states at the Fermi level is 12.71 states/eV/cell. Its volume is 45.866 Å³ per atom. The symmetry is P4/mbm. The energy comes out at -30.8 eV per cell. The calculation puts the formation energy at 0.04 eV per atom.

Cell: 8.2390 8.2390 6.7569 Å, 90.00 90.00 90.00°
Fractional positions:
1 Cs 0.1667 0.6667 0.5000
2 Cs 0.3333 0.1667 0.5000
3 Cs 0.6667 0.8333 0.5000
4 Cs 0.8333 0.3333 0.5000
5 Y 0.0000 0.0000 0.0000
6 Y 0.5000 0.5000 0.0000
7 Pb 0.1429 0.3571 0.0000
8 Pb 0.8571 0.6429 0.0000
9 Pb 0.3571 0.8571 0.0000
10 Pb 0.6429 0.1429 0.0000



First-principles (PBE-GGA) data for an optimized crystal structure of Ca2SnAu9, as listed in the Alexandria database.

For the size of the total moment, the calculation gives 0.000 μB/atom. The density of states at the Fermi level is 3.60 states/eV/cell. Its volume is 21.404 Å³ per atom. The symmetry is R-3m. The energy comes out at -41.7 eV per cell. The calculation puts the formation energy at -0.35 eV per atom.

Cell: 5.6534 5.6534 9.8366 Å, 73.30 73.30 60.00°
Fractional positions:
1 Ca 0.1362 0.1362 0.5915
2 Ca 0.8638 0.8638 0.4085
3 Au 0.9195 0.4116 0.2573
4 Au 0.5000 0.5000 0.5000
5 Au 0.6668 0.6668 0.9996
6 Au 0.5884 0.0805 0.7427
7 Au 0.3332 0.3332 0.0004
8 Au 0.5884 0.5884 0.7427
9 Au 0.0805 0.5884 0.7427
10 Au 0.4116 0.4116 0.2573
11 Au 0.4116 0.9195 0.2573
12 Sn 0.0000 0.0000 0.0000



First-principles (PBE-GGA) data for an optimized crystal structure of PmTl2PdCl6, as listed in the Alexandria database.

For the energy relative to the elements, uncorrected, the calculation gives -1324 meV/atom. For the size of the total moment, the calculation gives 0.100 μB/atom. Its volume is 29.031 Å³ per atom. The symmetry is C2/m. The energy comes out at -39.0 eV per cell.

Cell: 5.8130 7.3306 7.7702 Å, 118.15 95.37 90.00°
Fractional positions:
1 Pm 0.0000 0.5000 0.0000
2 Tl 0.2314 0.1941 0.3883
3 Tl 0.7686 0.8059 0.6117
4 Cl 0.7442 0.3240 0.6480
5 Cl 0.7573 0.3179 0.1692
6 Cl 0.2427 0.1488 0.8308
7 Cl 0.2427 0.6821 0.8308
8 Cl 0.2558 0.6760 0.3520
9 Cl 0.7573 0.8512 0.1692
10 Pd 0.5000 0.0000 0.0000



First-principles (PBE-GGA) data for an optimized crystal structure of Tm4Al3Cd, as listed in the Alexandria database.

For the size of the total moment, the calculation gives 0.010 μB/atom. The density of states at the Fermi level is 7.38 states/eV/cell. Its volume is 23.967 Å³ per atom. The symmetry is Pmm2. The energy comes out at -32.7 eV per cell. The calculation puts the formation energy at -0.34 eV per atom.

Cell: 3.6223 4.5458 11.6441 Å, 90.00 90.00 90.00°
Fractional positions:
1 Al 0.5000 0.0000 0.9268
2 Al 0.0000 0.5000 0.5687
3 Al 0.0000 0.0000 0.4329
4 Cd 0.5000 0.5000 0.0690
5 Tm 0.5000 0.0000 0.6572
6 Tm 0.0000 0.5000 0.8376
7 Tm 0.0000 0.0000 0.1616
8 Tm 0.5000 0.5000 0.3463